1.
Li5AgF8 after structural relaxation. Source: the Alexandria database, functional GGA-PBEsol.

Calculated values
Uncorrected energy = -4.432 eV/atom
Raw formation energy = -2392 meV/atom
SG = No. 166
D(E_F) = 0.93 states/eV/cell

CIF file:
```
data_Li5AgF8
_symmetry_space_group_name_H-M 'P 1'
_symmetry_Int_Tables_number 1
_symmetry_space_group_name_Hall 'P 1'
_cell_length_a 5.835
_cell_length_b 5.835
_cell_length_c 5.966
_cell_angle_alpha 60.72
_cell_angle_beta 60.72
_cell_angle_gamma 60.00
loop_
_atom_site_label
_atom_site_fract_x
_atom_site_fract_y
_atom_site_fract_z
Li1 0.860 0.860 0.419
Li2 0.000 0.500 0.000
Li3 0.500 0.000 0.000
Li4 0.140 0.140 0.581
Li5 0.500 0.500 0.000
Ag1 0.500 0.500 0.500
F1 0.252 0.741 0.754
F2 0.736 0.736 0.793
F3 0.252 0.252 0.754
F4 0.741 0.252 0.754
F5 0.259 0.748 0.246
F6 0.748 0.748 0.246
F7 0.264 0.264 0.207
F8 0.748 0.259 0.246
```


2.
GeBiBrF2 after structural relaxation. Source: the Alexandria database, functional GGA-PBEsol.

Calculated values
Uncorrected energy = -4.161 eV/atom
Raw formation energy = -1171 meV/atom
SG = No. 123
D(E_F) = 1.47 states/eV/cell

CIF file:
```
data_GeBiBrF2
_symmetry_space_group_name_H-M 'P 1'
_symmetry_Int_Tables_number 1
_symmetry_space_group_name_Hall 'P 1'
_cell_length_a 4.406
_cell_length_b 4.406
_cell_length_c 6.056
_cell_angle_alpha 90.00
_cell_angle_beta 90.00
_cell_angle_gamma 90.00
loop_
_atom_site_label
_atom_site_fract_x
_atom_site_fract_y
_atom_site_fract_z
Ge1 0.000 0.000 0.500
Bi1 0.000 0.000 0.000
Br1 0.500 0.500 0.500
F1 0.000 0.500 0.000
F2 0.500 0.000 0.000
```


3.
BeTl2W after structural relaxation. Source: the Alexandria database, functional GGA-PBEsol.

Calculated values
Energy of formation = 396 kJ/mol of formula units
Uncorrected energy = -4.741 eV/atom
Energy above the most stable polymorph in this dataset = 320.3 meV/atom
SG = No. 123
D(E_F) = 2.15 states/eV/cell

CIF file:
```
data_BeTl2W
_symmetry_space_group_name_H-M 'P 1'
_symmetry_Int_Tables_number 1
_symmetry_space_group_name_Hall 'P 1'
_cell_length_a 3.500
_cell_length_b 3.500
_cell_length_c 5.795
_cell_angle_alpha 90.00
_cell_angle_beta 90.00
_cell_angle_gamma 90.00
loop_
_atom_site_label
_atom_site_fract_x
_atom_site_fract_y
_atom_site_fract_z
Be1 0.500 0.500 0.500
Tl1 0.000 0.000 0.741
Tl2 0.000 0.000 0.259
W1 0.500 0.500 0.000
```


4.
SrCd2 after structural relaxation. Source: the Alexandria database, functional GGA-PBEsol.

Calculated values
Energy of formation = -71 kJ/mol of formula units
Uncorrected energy = -1.656 eV/atom
SG = No. 139
D(E_F) = 1.48 states/eV/cell

CIF file:
```
data_SrCd2
_symmetry_space_group_name_H-M 'P 1'
_symmetry_Int_Tables_number 1
_symmetry_space_group_name_Hall 'P 1'
_cell_length_a 3.762
_cell_length_b 3.762
_cell_length_c 6.370
_cell_angle_alpha 107.18
_cell_angle_beta 107.18
_cell_angle_gamma 90.00
loop_
_atom_site_label
_atom_site_fract_x
_atom_site_fract_y
_atom_site_fract_z
Sr1 0.000 0.000 0.000
Cd1 0.312 0.312 0.624
Cd2 0.688 0.688 0.376
```


5.
SiSb after structural relaxation. Source: the Alexandria database, functional GGA-PBEsol.

Calculated values
Uncorrected energy = -4.789 eV/atom
Raw formation energy = 363 meV/atom
SG = No. 187
D(E_F) = 0.87 states/eV/cell

CIF file:
```
data_SiSb
_symmetry_space_group_name_H-M 'P 1'
_symmetry_Int_Tables_number 1
_symmetry_space_group_name_Hall 'P 1'
_cell_length_a 3.589
_cell_length_b 3.776
_cell_length_c 3.776
_cell_angle_alpha 120.00
_cell_angle_beta 90.00
_cell_angle_gamma 90.00
loop_
_atom_site_label
_atom_site_fract_x
_atom_site_fract_y
_atom_site_fract_z
Sb1 0.000 0.000 0.000
Si1 0.500 0.333 0.667
```


6.
Y2TaW after structural relaxation. Source: the Alexandria database, functional GGA-PBEsol.

Calculated values
Energy of formation = 154 kJ/mol of formula units
Uncorrected energy = -9.602 eV/atom
Energy above the most stable polymorph in this dataset = 42.2 meV/atom
SG = No. 35
D(E_F) = 5.29 states/eV/cell

CIF file:
```
data_Y2TaW
_symmetry_space_group_name_H-M 'P 1'
_symmetry_Int_Tables_number 1
_symmetry_space_group_name_Hall 'P 1'
_cell_length_a 3.051
_cell_length_b 3.051
_cell_length_c 10.191
_cell_angle_alpha 90.00
_cell_angle_beta 90.00
_cell_angle_gamma 112.06
loop_
_atom_site_label
_atom_site_fract_x
_atom_site_fract_y
_atom_site_fract_z
Ta1 0.000 0.000 0.466
W1 0.500 0.500 0.274
Y1 0.000 0.000 0.040
Y2 0.500 0.500 0.720
```


7.
Be2CrOsPd after structural relaxation. Source: the Alexandria database, functional GGA-PBEsol.

Calculated values
Energy of formation = 624 kJ/mol of formula units
Uncorrected energy = -5.989 eV/atom
SG = No. 123
D(E_F) = 5.99 states/eV/cell

CIF file:
```
data_Be2CrOsPd
_symmetry_space_group_name_H-M 'P 1'
_symmetry_Int_Tables_number 1
_symmetry_space_group_name_Hall 'P 1'
_cell_length_a 3.969
_cell_length_b 3.969
_cell_length_c 4.602
_cell_angle_alpha 90.00
_cell_angle_beta 90.00
_cell_angle_gamma 90.00
loop_
_atom_site_label
_atom_site_fract_x
_atom_site_fract_y
_atom_site_fract_z
Cr1 0.000 0.000 0.500
Os1 0.500 0.500 0.500
Pd1 0.000 0.000 0.000
Be1 0.000 0.500 0.000
Be2 0.500 0.000 0.000
```


8.
Tb2Si5Rh3 after structural relaxation. Source: the Alexandria database, functional GGA-PBEsol.

Calculated values
Uncorrected energy = -7.372 eV/atom
Raw formation energy = -1055 meV/atom
SG = No. 15
D(E_F) = 7.45 states/eV/cell

CIF file:
```
data_Tb2Si5Rh3
_symmetry_space_group_name_H-M 'P 1'
_symmetry_Int_Tables_number 1
_symmetry_space_group_name_Hall 'P 1'
_cell_length_a 5.627
_cell_length_b 8.039
_cell_length_c 8.039
_cell_angle_alpha 93.61
_cell_angle_beta 108.89
_cell_angle_gamma 108.89
loop_
_atom_site_label
_atom_site_fract_x
_atom_site_fract_y
_atom_site_fract_z
Tb1 0.240 0.599 0.868
Tb2 0.260 0.132 0.401
Tb3 0.760 0.401 0.132
Tb4 0.740 0.868 0.599
Si1 0.163 0.267 0.060
Si2 0.337 0.940 0.733
Si3 0.837 0.733 0.940
Si4 0.663 0.060 0.267
Si5 0.250 0.487 0.513
Si6 0.750 0.513 0.487
Si7 0.250 0.224 0.776
Si8 0.750 0.209 0.791
Si9 0.250 0.791 0.209
Si10 0.750 0.776 0.224
Rh1 0.750 0.001 0.999
Rh2 0.127 0.739 0.459
Rh3 0.627 0.459 0.739
Rh4 0.873 0.261 0.541
Rh5 0.250 0.999 0.001
Rh6 0.373 0.541 0.261
```


9.
CsFe2Se3 after structural relaxation. Source: the Alexandria database, functional GGA-PBEsol.

Calculated values
Uncorrected energy = -5.618 eV/atom
Raw formation energy = -548 meV/atom
SG = No. 63
D(E_F) = 8.89 states/eV/cell

CIF file:
```
data_CsFe2Se3
_symmetry_space_group_name_H-M 'P 1'
_symmetry_Int_Tables_number 1
_symmetry_space_group_name_Hall 'P 1'
_cell_length_a 5.298
_cell_length_b 7.450
_cell_length_c 7.450
_cell_angle_alpha 99.91
_cell_angle_beta 90.00
_cell_angle_gamma 90.00
loop_
_atom_site_label
_atom_site_fract_x
_atom_site_fract_y
_atom_site_fract_z
Cs1 0.750 0.335 0.665
Cs2 0.250 0.665 0.335
Fe1 0.000 0.134 0.134
Fe2 0.500 0.134 0.134
Fe3 0.000 0.866 0.866
Fe4 0.500 0.866 0.866
Se1 0.750 0.882 0.118
Se2 0.250 0.118 0.882
Se3 0.750 0.377 0.156
Se4 0.250 0.156 0.377
Se5 0.250 0.623 0.844
Se6 0.750 0.844 0.623
```


10.
ScTl2TcSb after structural relaxation. Source: the Alexandria database, functional GGA-PBEsol.

Calculated values
Uncorrected energy = -4.136 eV/atom
Raw formation energy = 1402 meV/atom
SG = No. 123
D(E_F) = 5.76 states/eV/cell

CIF file:
```
data_ScTl2TcSb
_symmetry_space_group_name_H-M 'P 1'
_symmetry_Int_Tables_number 1
_symmetry_space_group_name_Hall 'P 1'
_cell_length_a 5.315
_cell_length_b 5.543
_cell_length_c 5.543
_cell_angle_alpha 90.00
_cell_angle_beta 90.00
_cell_angle_gamma 90.00
loop_
_atom_site_label
_atom_site_fract_x
_atom_site_fract_y
_atom_site_fract_z
Sc1 0.500 0.000 0.000
Sb1 0.000 0.000 0.000
Tl1 0.000 0.000 0.500
Tl2 0.000 0.500 0.000
Tc1 0.500 0.500 0.500
```


11.
ZnGaSb2O after structural relaxation. Source: the Alexandria database, functional GGA-PBEsol.

Calculated values
Uncorrected energy = -3.030 eV/atom
Raw formation energy = 827 meV/atom
SG = No. 123
D(E_F) = 2.85 states/eV/cell

CIF file:
```
data_ZnGaSb2O
_symmetry_space_group_name_H-M 'P 1'
_symmetry_Int_Tables_number 1
_symmetry_space_group_name_Hall 'P 1'
_cell_length_a 4.596
_cell_length_b 5.090
_cell_length_c 5.090
_cell_angle_alpha 90.00
_cell_angle_beta 90.00
_cell_angle_gamma 90.00
loop_
_atom_site_label
_atom_site_fract_x
_atom_site_fract_y
_atom_site_fract_z
Sb1 0.000 0.000 0.500
Sb2 0.000 0.500 0.000
Zn1 0.000 0.000 0.000
O1 0.500 0.500 0.500
Ga1 0.500 0.000 0.000
```


12.
OsPtSe2 after structural relaxation. Source: the Alexandria database, functional GGA-PBEsol.

Calculated values
Uncorrected energy = -6.492 eV/atom
Energy above the most stable polymorph in this dataset = 0.0 meV/atom
Raw formation energy = 228 meV/atom
SG = No. 160
D(E_F) = 1.16 states/eV/cell

CIF file:
```
data_OsPtSe2
_symmetry_space_group_name_H-M 'P 1'
_symmetry_Int_Tables_number 1
_symmetry_space_group_name_Hall 'P 1'
_cell_length_a 3.354
_cell_length_b 3.354
_cell_length_c 7.880
_cell_angle_alpha 77.71
_cell_angle_beta 77.71
_cell_angle_gamma 60.00
loop_
_atom_site_label
_atom_site_fract_x
_atom_site_fract_y
_atom_site_fract_z
Os1 0.497 0.497 0.510
Pt1 0.253 0.253 0.240
Se1 0.982 0.982 0.054
Se2 0.768 0.768 0.696
```


Question: Which of these has the lowest D(E_F)?
Answer: SiSb


Please write out number 5 again, unchanged.
SiSb after structural relaxation. Source: the Alexandria database, functional GGA-PBEsol.

Calculated values
Uncorrected energy = -4.789 eV/atom
Raw formation energy = 363 meV/atom
SG = No. 187
D(E_F) = 0.87 states/eV/cell

CIF file:
```
data_SiSb
_symmetry_space_group_name_H-M 'P 1'
_symmetry_Int_Tables_number 1
_symmetry_space_group_name_Hall 'P 1'
_cell_length_a 3.589
_cell_length_b 3.776
_cell_length_c 3.776
_cell_angle_alpha 120.00
_cell_angle_beta 90.00
_cell_angle_gamma 90.00
loop_
_atom_site_label
_atom_site_fract_x
_atom_site_fract_y
_atom_site_fract_z
Sb1 0.000 0.000 0.000
Si1 0.500 0.333 0.667
```